An optimized crystal structure of Tl3Cr3OsO8. Source: the Alexandria database, functional GGA+U.

```
Tl3Cr3OsO8
1.0
6.170 0.000 0.000
-3.085 5.353 -0.119
0.000 -3.649 6.895
Tl Cr Os O
3 3 1 8
direct
0.000 0.000 0.000
0.000 0.500 0.000
0.500 0.500 0.000
0.500 0.000 0.500
0.500 0.500 0.500
0.000 0.500 0.500
0.000 0.000 0.500
0.283 0.566 0.358
0.717 0.434 0.642
0.785 0.570 0.351
0.215 0.430 0.649
0.784 0.057 0.351
0.216 0.943 0.649
0.273 0.057 0.351
0.727 0.943 0.649
```

Fermi-level density of states: 4.28 states/eV per cell
Space group: C2/m (12)
Calculated total energy: -6.634 eV/atom